Material: LiGd2Zn
Method: DFT, PBE
State: optimized geometry

Summary:
- D(E_F) (states/eV per cell) = 5.0
- calculated formation energy (eV per atom) = 0.3516
- ΔE to the lowest computed polymorph (meV per atom) = 490

a b c (Å): 3.3155 3.3155 11.7512
angles (deg): 81.89 81.89 60.00
Last column: magnetic moment on the atom in μB.
Element x y z (fractional)
Gd (0.0879, 0.0879, 0.7364)  7.26
Gd (0.9121, 0.9121, 0.2636)  7.26
Li (0.5000, 0.5000, 0.5000)  -0.01
Zn (0.0000, 0.0000, 0.0000)  0.01

Material: KGeBr3
Method: DFT, PBE
State: optimized geometry

Summary:
- D(E_F) (states/eV per cell) = 0.0
- formation energy (no corrections) (eV/atom) = -1.0202

a b c (Å): 9.0162 7.8671 6.8690
angles (deg): 90.00 64.20 90.00
Element x y z (fractional)
Ge (0.6659, 0.2500, 0.4448)
Ge (0.3341, 0.7500, 0.5552)
Br (0.0268, 0.7500, 0.6425)
Br (0.9732, 0.2500, 0.3575)
Br (0.6919, 0.4866, 0.1830)
Br (0.3081, 0.5134, 0.8170)
Br (0.3081, 0.9866, 0.8170)
Br (0.6919, 0.0134, 0.1830)
K (0.0093, 0.2500, 0.8185)
K (0.9907, 0.7500, 0.1815)

Material: Mg2GaCu3
Method: DFT, PBE
State: optimized geometry

Summary:
- D(E_F) (states/eV per cell) = 2.8
- calculated formation energy (eV per atom) = -0.2418

a b c (Å): 5.0548 5.0548 8.1281
angles (deg): 90.00 90.00 120.00
Element x y z (fractional)
Mg (0.6667, 0.3333, 0.0629)
Mg (0.3333, 0.6667, 0.9371)
Mg (0.6667, 0.3333, 0.4371)
Mg (0.3333, 0.6667, 0.5629)
Cu (0.8298, 0.1702, 0.7500)
Cu (0.3404, 0.1702, 0.7500)
Cu (0.1702, 0.8298, 0.2500)
Cu (0.6596, 0.8298, 0.2500)
Cu (0.1702, 0.3404, 0.2500)
Cu (0.8298, 0.6596, 0.7500)
Ga (0.0000, 0.0000, 0.0000)
Ga (0.0000, 0.0000, 0.5000)

Material: Dy3TmGe2C
Method: DFT, PBE
State: optimized geometry

Summary:
- D(E_F) (states/eV per cell) = 0.9
- calculated formation energy (eV per atom) = -0.6684

a b c (Å): 4.6359 4.6841 8.2796
angles (deg): 106.43 106.26 90.00
Element x y z (fractional)
C (0.0000, 0.0000, 0.0000)
Ge (0.3635, 0.3635, 0.7270)
Ge (0.6365, 0.6365, 0.2730)
Dy (0.1674, 0.1674, 0.3348)
Dy (0.8326, 0.8326, 0.6652)
Dy (0.0000, 0.5000, 0.0000)
Tm (0.5000, 0.0000, 0.0000)

Material: ScTcMo2
Method: DFT, PBE
State: optimized geometry

Summary:
- D(E_F) (states/eV per cell) = 3.2
- calculated formation energy (eV per atom) = 0.2053
- ΔE to the lowest computed polymorph (meV per atom) = 314

a b c (Å): 2.8165 4.5114 5.2316
angles (deg): 90.00 90.00 90.00
Element x y z (fractional)
Sc (0.5000, 0.5000, 0.2500)
Tc (0.5000, 0.5000, 0.7500)
Mo (0.0000, 0.0000, 0.9948)
Mo (0.0000, 0.0000, 0.5052)

Material: Tb5SmEr5
Method: DFT, PBE
State: optimized geometry

Summary:
- D(E_F) (states/eV per cell) = 18.6
- calculated formation energy (eV per atom) = 0.3327
- ΔE to the lowest computed polymorph (meV per atom) = 188

a b c (Å): 6.0646 6.0646 11.4260
angles (deg): 90.00 90.00 120.00
Element x y z (fractional)
Tb (0.8314, 0.6628, 0.5000)
Tb (0.0000, 0.0000, 0.7365)
Tb (0.0000, 0.0000, 0.2635)
Tb (0.8314, 0.1686, 0.5000)
Tb (0.3372, 0.1686, 0.5000)
Er (0.6667, 0.3333, 0.1592)
Er (0.0000, 0.0000, 0.0000)
Er (0.6667, 0.3333, 0.8408)
Er (0.3333, 0.6667, 0.3251)
Er (0.3333, 0.6667, 0.6749)
Sm (0.3333, 0.6667, 0.0000)

Material: Ac6As3S2N
Method: DFT, PBE
State: optimized geometry

Summary:
- D(E_F) (states/eV per cell) = 3.7
- formation energy (no corrections) (eV/atom) = -1.5565

a b c (Å): 4.3769 8.7555 9.7235
angles (deg): 102.23 103.01 90.00
Element x y z (fractional)
As (0.1707, 0.8362, 0.3415)
As (0.8293, 0.1638, 0.6585)
As (0.5000, 0.5000, 0.0000)
Ac (0.3336, 0.4154, 0.6672)
Ac (0.6664, 0.5846, 0.3328)
Ac (0.0013, 0.7745, 0.0027)
Ac (0.9987, 0.2255, 0.9973)
Ac (0.6530, 0.0771, 0.3060)
Ac (0.3470, 0.9229, 0.6940)
N (0.5000, 0.0000, 0.0000)
S (0.1653, 0.3335, 0.3306)
S (0.8347, 0.6665, 0.6694)

Material: RbBiBr2
Method: DFT, PBE
State: optimized geometry

Summary:
- D(E_F) (states/eV per cell) = 1.2
- ΔE to the lowest computed polymorph (meV per atom) = 421
- formation energy (no corrections) (eV/atom) = -0.4149

a b c (Å): 11.4323 11.4323 11.4323
angles (deg): 19.68 19.68 19.68
Element x y z (fractional)
Rb (0.0000, 0.0000, 0.0000)
Br (0.0947, 0.0947, 0.0947)
Br (0.9053, 0.9053, 0.9053)
Bi (0.5000, 0.5000, 0.5000)